[1]
This record from Alexandria via LeMat-Bulk describes Tl3NiSe2O6 after structural relaxation. The functional is PBE with a Hubbard U.

- space group = P-3m1
- raw total energy (eV for the cell shown) = -54.042
- total magnetization (Bohr magnetons per cell) = 1.219

Unit cell a=5.804 b=5.804 c=7.750 alpha=90.00 beta=90.00 gamma=120.00
Sites, in units of the cell vectors:
Tl: 0.000 0.000 0.000
Tl: 0.333 0.667 0.702
Tl: 0.667 0.333 0.298
Ni: 0.000 0.000 0.500
Se: 0.333 0.667 0.249
Se: 0.667 0.333 0.751
O: 0.175 0.350 0.340
O: 0.175 0.825 0.340
O: 0.350 0.175 0.660
O: 0.650 0.825 0.340
O: 0.825 0.175 0.660
O: 0.825 0.650 0.660

[2]
This record from Alexandria via LeMat-Bulk describes TlNiSe2O6 after structural relaxation. The functional is PBE with a Hubbard U.

- space group = R-3
- raw total energy (eV for the cell shown) = -48.828
- total magnetization (Bohr magnetons per cell) = 0.986

Unit cell a=7.097 b=7.097 c=7.097 alpha=44.96 beta=44.96 gamma=44.96
Sites, in units of the cell vectors:
Tl: 0.000 0.000 0.000
Ni: 0.500 0.500 0.500
Se: 0.257 0.257 0.257
Se: 0.743 0.743 0.743
O: 0.096 0.508 0.710
O: 0.290 0.904 0.492
O: 0.492 0.290 0.904
O: 0.508 0.710 0.096
O: 0.710 0.096 0.508
O: 0.904 0.492 0.290

[3]
This record from Alexandria via LeMat-Bulk describes Tl2NiSeO6 after structural relaxation. The functional is PBE with a Hubbard U.

- space group = P-3m1
- raw total energy (eV for the cell shown) = -46.097
- total magnetization (Bohr magnetons per cell) = 0.000

Unit cell a=6.119 b=6.119 c=4.929 alpha=90.00 beta=90.00 gamma=120.00
Sites, in units of the cell vectors:
Tl: 0.333 0.667 0.262
Tl: 0.667 0.333 0.738
Ni: 0.000 0.000 0.500
Se: 0.000 0.000 0.000
O: 0.133 0.265 0.760
O: 0.133 0.867 0.760
O: 0.265 0.133 0.240
O: 0.735 0.867 0.760
O: 0.867 0.133 0.240
O: 0.867 0.735 0.240

[4]
This record from Alexandria via LeMat-Bulk describes TlNiSe2O8 after structural relaxation. The functional is PBE with a Hubbard U.

- space group = R-3
- raw total energy (eV for the cell shown) = -59.488
- total magnetization (Bohr magnetons per cell) = 1.076

Unit cell a=8.543 b=8.543 c=8.543 alpha=34.05 beta=34.05 gamma=34.05
Sites, in units of the cell vectors:
Tl: 0.000 0.000 0.000
Ni: 0.500 0.500 0.500
Se: 0.238 0.238 0.238
Se: 0.762 0.762 0.762
O: 0.112 0.764 0.469
O: 0.236 0.531 0.888
O: 0.308 0.308 0.308
O: 0.469 0.112 0.764
O: 0.531 0.888 0.236
O: 0.692 0.692 0.692
O: 0.764 0.469 0.112
O: 0.888 0.236 0.531

[5]
This record from Alexandria via LeMat-Bulk describes ZnNiSeO4 after structural relaxation. The functional is PBE with a Hubbard U.

- space group = Imma
- raw total energy (eV for the cell shown) = -66.443
- total magnetization (Bohr magnetons per cell) = 4.001

Unit cell a=6.113 b=6.113 c=6.113 alpha=122.44 beta=113.15 gamma=94.04
Sites, in units of the cell vectors:
Zn: 0.500 0.000 0.000
Zn: 0.500 0.500 0.500
Ni: 0.000 0.000 0.000
Ni: 0.500 0.000 0.500
Se: 0.088 0.338 0.750
Se: 0.912 0.662 0.250
O: 0.220 0.232 0.512
O: 0.220 0.708 0.988
O: 0.278 0.233 0.044
O: 0.311 0.767 0.544
O: 0.689 0.233 0.456
O: 0.722 0.767 0.956
O: 0.780 0.292 0.012
O: 0.780 0.768 0.488

[6]
This record from Alexandria via LeMat-Bulk describes SiNi2O after structural relaxation. The functional is PBE with a Hubbard U.

- space group = I-42d
- E above lowest polymorph (meV/atom) = 0
- raw total energy (eV for the cell shown) = -30.216
- total magnetization (Bohr magnetons per cell) = 3.999

Unit cell a=5.490 b=5.490 c=5.490 alpha=122.96 beta=122.96 gamma=84.94
Sites, in units of the cell vectors:
Si: 0.000 0.000 0.000
Si: 0.750 0.250 0.500
Ni: 0.183 0.625 0.058
Ni: 0.375 0.433 0.558
Ni: 0.567 0.125 0.942
Ni: 0.875 0.817 0.442
O: 0.250 0.750 0.500
O: 0.500 0.500 0.000

[7]
This record from Alexandria via LeMat-Bulk describes SiNi2O after structural relaxation. The functional is PBE with a Hubbard U.

- space group = Fm-3m
- E above lowest polymorph (meV/atom) = 368
- raw total energy (eV for the cell shown) = -13.634
- total magnetization (Bohr magnetons per cell) = 0.000

Unit cell a=3.828 b=3.828 c=3.828 alpha=60.00 beta=60.00 gamma=60.00
Sites, in units of the cell vectors:
Si: 0.000 0.000 0.000
Ni: 0.250 0.250 0.250
Ni: 0.750 0.750 0.750
O: 0.500 0.500 0.500

[8]
This record from Alexandria via LeMat-Bulk describes SiNiO3 after structural relaxation. The functional is PBE with a Hubbard U.

- space group = Pm-3m
- raw total energy (eV for the cell shown) = -23.522
- total magnetization (Bohr magnetons per cell) = 0.717

Unit cell a=3.651 b=3.651 c=3.651 alpha=90.00 beta=90.00 gamma=90.00
Sites, in units of the cell vectors:
Si: 0.000 0.000 0.000
Ni: 0.500 0.500 0.500
O: 0.000 0.500 0.500
O: 0.500 0.000 0.500
O: 0.500 0.500 0.000

[9]
This record from Alexandria via LeMat-Bulk describes Si2Ni2O after structural relaxation. The functional is PBE with a Hubbard U.

- space group = P4/mbm
- E above lowest polymorph (meV/atom) = 0
- raw total energy (eV for the cell shown) = -38.665
- total magnetization (Bohr magnetons per cell) = 0.000

Unit cell a=5.486 b=5.486 c=3.640 alpha=90.00 beta=90.00 gamma=90.00
Sites, in units of the cell vectors:
Si: 0.164 0.336 0.000
Si: 0.336 0.836 0.000
Si: 0.664 0.164 0.000
Si: 0.836 0.664 0.000
Ni: 0.149 0.649 0.500
Ni: 0.351 0.149 0.500
Ni: 0.649 0.851 0.500
Ni: 0.851 0.351 0.500
O: 0.000 0.000 0.000
O: 0.500 0.500 0.000

[10]
This record from Alexandria via LeMat-Bulk describes SiNiO3 after structural relaxation. The functional is PBE with a Hubbard U.

- space group = P2_1/c
- raw total energy (eV for the cell shown) = -130.149
- total magnetization (Bohr magnetons per cell) = 7.967

Unit cell a=6.202 b=5.558 c=9.520 alpha=90.00 beta=126.42 gamma=90.00
Sites, in units of the cell vectors:
Si: 0.220 0.040 0.136
Si: 0.220 0.460 0.636
Si: 0.780 0.540 0.364
Si: 0.780 0.960 0.864
Ni: 0.397 0.748 0.981
Ni: 0.397 0.752 0.481
Ni: 0.603 0.248 0.519
Ni: 0.603 0.252 0.019
O: 0.055 0.709 0.507
O: 0.055 0.791 0.007
O: 0.295 0.042 0.330
O: 0.295 0.458 0.830
O: 0.470 0.057 0.126
O: 0.470 0.443 0.626
O: 0.530 0.557 0.374
O: 0.530 0.943 0.874
O: 0.705 0.542 0.170
O: 0.705 0.958 0.670
O: 0.945 0.209 0.993
O: 0.945 0.291 0.493

[11]
This record from Alexandria via LeMat-Bulk describes SiNiO after structural relaxation. The functional is PBE with a Hubbard U.

- space group = Amm2
- raw total energy (eV for the cell shown) = -27.951
- total magnetization (Bohr magnetons per cell) = 0.000

Unit cell a=10.593 b=2.692 c=2.692 alpha=59.66 beta=90.00 gamma=90.00
Sites, in units of the cell vectors:
Si: 0.000 0.000 0.000
Si: 0.500 0.142 0.142
Ni: 0.152 0.333 0.333
Ni: 0.848 0.333 0.333
O: 0.396 0.808 0.808
O: 0.604 0.808 0.808

[12]
This record from Alexandria via LeMat-Bulk describes Si2Ni2O after structural relaxation. The functional is PBE with a Hubbard U.

- space group = I4/mmm
- E above lowest polymorph (meV/atom) = 166
- raw total energy (eV for the cell shown) = -18.504
- total magnetization (Bohr magnetons per cell) = 0.093

Unit cell a=5.956 b=5.956 c=5.956 alpha=147.76 beta=147.76 gamma=46.24
Sites, in units of the cell vectors:
Si: 0.102 0.102 0.000
Si: 0.898 0.898 0.000
Ni: 0.250 0.750 0.500
Ni: 0.750 0.250 0.500
O: 0.500 0.500 0.000

Which of these has the lowest raw total energy?
number 10

Look up the raw total energy of the eighth one.
-23.522 eV for the cell shown

What did the eighth record say?
This record from Alexandria via LeMat-Bulk describes SiNiO3 after structural relaxation. The functional is PBE with a Hubbard U.

- space group = Pm-3m
- raw total energy (eV for the cell shown) = -23.522
- total magnetization (Bohr magnetons per cell) = 0.717

Unit cell a=3.651 b=3.651 c=3.651 alpha=90.00 beta=90.00 gamma=90.00
Sites, in units of the cell vectors:
Si: 0.000 0.000 0.000
Ni: 0.500 0.500 0.500
O: 0.000 0.500 0.500
O: 0.500 0.000 0.500
O: 0.500 0.500 0.000